No. 1
# SnICl | Alexandria | PBE | relaxed
data_SnICl
_chemical_formula_sum 'Sn2 I2 Cl2'
_space_group_name_H-M_alt 'I 4 m m'
_space_group_IT_number 107
_space_group_name_Hall 'I 4 -2'
_cell_length_a 4.622
_cell_length_b 4.622
_cell_length_c 13.364
_cell_angle_alpha 90.00
_cell_angle_beta 90.00
_cell_angle_gamma 90.00
loop_
_atom_site_label
_atom_site_type_symbol
_atom_site_fract_x
_atom_site_fract_y
_atom_site_fract_z
Sn1 Sn 0.000 0.000 0.000
I1 I 0.000 0.000 0.520
Cl1 Cl 0.000 0.000 0.821
# - E_form (uncorrected) (eV/atom) = -0.662
# - M_tot (μB/f.u.) = 0.0
# - energy (eV/atom) = -3.13



No. 2
# Sn2ICl3 | Alexandria | PBE | relaxed
data_Sn2ICl3
_chemical_formula_sum 'Sn8 I4 Cl12'
_space_group_name_H-M_alt 'C 1 2/m 1'
_space_group_IT_number 12
_cell_length_a 19.432
_cell_length_b 4.346
_cell_length_c 13.658
_cell_angle_alpha 90.00
_cell_angle_beta 125.40
_cell_angle_gamma 90.00
loop_
_space_group_symop_operation_xyz
'x,y,z'
'-x,-y,-z'
'-x,y,-z'
'x,-y,z'
'x+1/2,y+1/2,z'
'-x+1/2,-y+1/2,-z'
'-x+1/2,y+1/2,-z'
'x+1/2,-y+1/2,z'
loop_
_atom_site_label
_atom_site_type_symbol
_atom_site_fract_x
_atom_site_fract_y
_atom_site_fract_z
Sn1 Sn 0.134 0.000 0.429
Sn2 Sn 0.136 0.500 0.872
I1 I 0.097 0.000 0.685
Cl1 Cl 0.069 0.500 0.272
Cl2 Cl 0.206 0.000 0.059
Cl3 Cl 0.246 0.500 0.603
# - E_form (uncorrected) (eV/atom) = -0.863
# - M_tot (μB/f.u.) = 0.0
# - energy (eV/atom) = -3.38
# - distance to the lowest polymorph of the same formula (meV per atom) = 0